Computed, not measured: a relaxed structure of Cd2HgPb at the PBE-GGA level of DFT.

Geometry as POSCAR:
```
Cd2HgPb
1.0
1.7186 0.9923 10.3030
-1.7186 0.9923 10.3030
0.0000 -1.9845 10.3030
Cd Hg Pb
2 1 1
Direct
0.2417 0.2417 0.2417
0.7583 0.7583 0.7583
0.5000 0.5000 0.5000
0.0000 0.0000 0.0000
```

E_tot in eV per atom: -1.41
Energy above the lowest structure with this stoichiometry in meV per atom: 6
V in Å³/atom: 26.35
Space group: R-3m (166)
Energy of formation in eV/atom: 0.05

---

Computed, not measured: a relaxed structure of Zn2CdCu at the PBE-GGA level of DFT.

Geometry as POSCAR:
```
Zn2CdCu
1.0
-1.5388 2.2549 4.5507
1.5388 -2.2549 4.5507
1.5388 2.2549 -4.5507
Zn Cd Cu
2 1 1
Direct
0.2262 0.2262 0.0000
0.7738 0.7738 0.0000
0.5000 0.0000 0.5000
0.0000 0.5000 0.5000
```

E_tot in eV per atom: -1.84
V in Å³/atom: 15.79
Space group: Immm (71)
Energy of formation in eV/atom: 0.05

---

Computed, not measured: a relaxed structure of BeNi2H at the PBE-GGA level of DFT.

Geometry as POSCAR:
```
BeNi2H
1.0
-2.5880 2.5880 2.4363
2.5880 -2.5880 2.4363
2.5880 2.5880 -2.4363
Be Ni H
2 4 2
Direct
0.0000 0.0000 0.0000
0.7500 0.2500 0.5000
0.2052 0.6250 0.0802
0.3750 0.4552 0.5802
0.5448 0.1250 0.9198
0.8750 0.7948 0.4198
0.2500 0.7500 0.5000
0.5000 0.5000 0.0000
```

E_tot in eV per atom: -4.72
Energy above the lowest structure with this stoichiometry in meV per atom: 110
V in Å³/atom: 8.16
Space group: I-42d (122)

---

Computed, not measured: a relaxed structure of Ba2SrBiPt at the PBE-GGA level of DFT.

Geometry as POSCAR:
```
Ba2SrBiPt
1.0
6.0385 0.0000 0.0000
0.0000 6.0385 0.0000
0.0000 0.0000 5.8611
Ba Sr Bi Pt
2 1 1 1
Direct
0.0000 0.5000 0.0000
0.5000 0.0000 0.0000
0.0000 0.0000 0.5000
0.5000 0.5000 0.5000
0.0000 0.0000 0.0000
```

E_tot in eV per atom: -3.76
V in Å³/atom: 42.74
Space group: P4/mmm (123)
Energy of formation in eV/atom: -0.67